# SnHgO3 PBE optimized geometry
data_SnHgO3
_chemical_formula_sum 'Sn1 Hg1 O3'
_cell_length_a 4.0444
_cell_length_b 4.0444
_cell_length_c 4.0444
_cell_angle_alpha 90.00
_cell_angle_beta 90.00
_cell_angle_gamma 90.00
_space_group_name_H-M_alt 'P 1'
_space_group_IT_number 1
loop_
_space_group_symop_operation_xyz
'x,y,z'
loop_
_atom_site_label
_atom_site_fract_x
_atom_site_fract_y
_atom_site_fract_z
_atom_site_occupancy
Sn1 0.0000 0.0000 0.0000 1
Hg1 0.5000 0.5000 0.5000 1
O1 0.0000 0.0000 0.5000 1
O2 0.0000 0.5000 0.0000 1
O3 0.5000 0.0000 0.0000 1
# Uncorrected formation energy   -758 meV per atom
# Space-group type   No. 221

---

# Nb2Al6Ga PBE optimized geometry
data_Nb2Al6Ga
_chemical_formula_sum 'Nb2 Al6 Ga1'
_cell_length_a 6.6524
_cell_length_b 6.6524
_cell_length_c 6.4903
_cell_angle_alpha 110.33
_cell_angle_beta 110.33
_cell_angle_gamma 33.61
_space_group_name_H-M_alt 'P 1'
_space_group_IT_number 1
loop_
_space_group_symop_operation_xyz
'x,y,z'
loop_
_atom_site_label
_atom_site_fract_x
_atom_site_fract_y
_atom_site_fract_z
_atom_site_occupancy
Nb1 0.0535 0.0535 0.3015 1
Nb2 0.9465 0.9465 0.6985 1
Al1 0.1735 0.1735 0.0047 1
Al2 0.2749 0.2749 0.6494 1
Al3 0.3964 0.3964 0.3482 1
Al4 0.6036 0.6036 0.6518 1
Al5 0.7251 0.7251 0.3506 1
Al6 0.8265 0.8265 0.9953 1
Ga1 0.5000 0.5000 0.0000 1
# Space-group type   No. 12
# Energy of formation   -2.32 eV/f.u.

---

# RuPbBr2 PBE optimized geometry
data_RuPbBr2
_chemical_formula_sum 'Ru1 Pb1 Br2'
_cell_length_a 10.0062
_cell_length_b 10.0062
_cell_length_c 10.0062
_cell_angle_alpha 21.02
_cell_angle_beta 21.02
_cell_angle_gamma 21.02
_space_group_name_H-M_alt 'P 1'
_space_group_IT_number 1
loop_
_space_group_symop_operation_xyz
'x,y,z'
loop_
_atom_site_label
_atom_site_fract_x
_atom_site_fract_y
_atom_site_fract_z
_atom_site_occupancy
Ru1 0.0000 0.0000 0.0000 1
Pb1 0.5000 0.5000 0.5000 1
Br1 0.2854 0.2854 0.2854 1
Br2 0.7146 0.7146 0.7146 1
# Uncorrected formation energy   130 meV per atom
# Space-group type   No. 166

---

# NaBPb PBE optimized geometry
data_NaBPb
_chemical_formula_sum 'Na4 B4 Pb4'
_cell_length_a 6.9853
_cell_length_b 6.7854
_cell_length_c 6.6069
_cell_angle_alpha 90.00
_cell_angle_beta 118.20
_cell_angle_gamma 90.00
_space_group_name_H-M_alt 'P 1'
_space_group_IT_number 1
loop_
_space_group_symop_operation_xyz
'x,y,z'
loop_
_atom_site_label
_atom_site_fract_x
_atom_site_fract_y
_atom_site_fract_z
_atom_site_occupancy
Na1 0.2434 0.1766 0.1393 1
Na2 0.2434 0.3234 0.6393 1
Na3 0.7566 0.6766 0.3607 1
Na4 0.7566 0.8234 0.8607 1
B1 0.0352 0.5378 0.9106 1
B2 0.0352 0.9622 0.4106 1
B3 0.9648 0.0378 0.5894 1
B4 0.9648 0.4622 0.0894 1
Pb1 0.2612 0.7209 0.3438 1
Pb2 0.2612 0.7791 0.8438 1
Pb3 0.7388 0.2209 0.1562 1
Pb4 0.7388 0.2791 0.6562 1
# Space-group type   No. 14
# Energy of formation   1.18 eV/f.u.

---

# NdEr2Tm3Sb6 PBE optimized geometry
data_NdEr2Tm3Sb6
_chemical_formula_sum 'Nd1 Er2 Tm3 Sb6'
_cell_length_a 9.7785
_cell_length_b 9.7785
_cell_length_c 8.7478
_cell_angle_alpha 102.87
_cell_angle_beta 102.87
_cell_angle_gamma 25.85
_space_group_name_H-M_alt 'P 1'
_space_group_IT_number 1
loop_
_space_group_symop_operation_xyz
'x,y,z'
loop_
_atom_site_label
_atom_site_fract_x
_atom_site_fract_y
_atom_site_fract_z
_atom_site_occupancy
Nd1 0.0000 0.0000 0.0000 1
Er1 0.3324 0.3324 0.6663 1
Er2 0.6676 0.6676 0.3337 1
Tm1 0.0000 0.0000 0.5000 1
Tm2 0.3348 0.3348 0.1680 1
Tm3 0.6652 0.6652 0.8320 1
Sb1 0.1662 0.1662 0.5835 1
Sb2 0.1702 0.1702 0.0840 1
Sb3 0.4994 0.4994 0.7411 1
Sb4 0.5006 0.5006 0.2589 1
Sb5 0.8298 0.8298 0.9160 1
Sb6 0.8338 0.8338 0.4165 1
# Uncorrected formation energy   -1091 meV per atom
# Space-group type   No. 12

---

# LaCe2Ga6 PBE optimized geometry
data_LaCe2Ga6
_chemical_formula_sum 'La1 Ce2 Ga6'
_cell_length_a 7.7182
_cell_length_b 7.7182
_cell_length_c 7.7182
_cell_angle_alpha 145.81
_cell_angle_beta 123.51
_cell_angle_gamma 67.71
_space_group_name_H-M_alt 'P 1'
_space_group_IT_number 1
loop_
_space_group_symop_operation_xyz
'x,y,z'
loop_
_atom_site_label
_atom_site_fract_x
_atom_site_fract_y
_atom_site_fract_z
_atom_site_occupancy
La1 0.0000 0.0000 0.0000 1
Ce1 0.3919 0.8919 0.5000 1
Ce2 0.6081 0.1081 0.5000 1
Ga1 0.0074 0.3091 0.6983 1
Ga2 0.3064 0.5000 0.8064 1
Ga3 0.3892 0.6909 0.6983 1
Ga4 0.6108 0.3091 0.3017 1
Ga5 0.6936 0.5000 0.1936 1
Ga6 0.9926 0.6909 0.3017 1
# Space-group type   No. 71
# Energy of formation   -3.86 eV/f.u.

---

# AlTlW PBE optimized geometry
data_AlTlW
_chemical_formula_sum 'Al1 Tl1 W1'
_cell_length_a 4.4473
_cell_length_b 4.4473
_cell_length_c 4.4473
_cell_angle_alpha 60.00
_cell_angle_beta 60.00
_cell_angle_gamma 60.00
_space_group_name_H-M_alt 'P 1'
_space_group_IT_number 1
loop_
_space_group_symop_operation_xyz
'x,y,z'
loop_
_atom_site_label
_atom_site_fract_x
_atom_site_fract_y
_atom_site_fract_z
_atom_site_occupancy
Al1 0.0000 0.0000 0.0000 1
Tl1 0.2500 0.2500 0.2500 1
W1 0.7500 0.7500 0.7500 1
# Space-group type   No. 216
# Energy of formation   3.47 eV/f.u.

---

# Pr2Y6S3 PBE optimized geometry
data_Pr2Y6S3
_chemical_formula_sum 'Pr2 Y6 S3'
_cell_length_a 24.7768
_cell_length_b 24.7768
_cell_length_c 24.7768
_cell_angle_alpha 8.75
_cell_angle_beta 8.75
_cell_angle_gamma 8.75
_space_group_name_H-M_alt 'P 1'
_space_group_IT_number 1
loop_
_space_group_symop_operation_xyz
'x,y,z'
loop_
_atom_site_label
_atom_site_fract_x
_atom_site_fract_y
_atom_site_fract_z
_atom_site_occupancy
Pr1 0.0584 0.0584 0.0584 1
Pr2 0.9416 0.9416 0.9416 1
Y1 0.1434 0.1434 0.1434 1
Y2 0.3141 0.3141 0.3141 1
Y3 0.4326 0.4326 0.4326 1
Y4 0.5674 0.5674 0.5674 1
Y5 0.6859 0.6859 0.6859 1
Y6 0.8566 0.8566 0.8566 1
S1 0.2117 0.2117 0.2117 1
S2 0.5000 0.5000 0.5000 1
S3 0.7883 0.7883 0.7883 1
# Uncorrected formation energy   -1065 meV per atom
# Space-group type   No. 166

---

Respective DOS(E_F) values: 0.2282; 0.3357; 0.5307; 0.0167; 0.1588; 1.1907; 0.8584; 0.7903 states/eV per atom.